1.
Computed, not measured: GeH after structural relaxation at the PBE level of DFT.

E = -59.2 eV/cell
N(E_F) = 2.52 states/eV/cell
Crystal system = tetragonal

Cell lengths 7.699, 7.699, 4.159 Å; angles 90.00, 90.00, 90.00 degrees
Positions (direct):
H (0.495, 0.297, 0.500)
Ge (0.861, 0.217, 0.000)
H (0.703, 0.495, 0.500)
Ge (0.879, 0.397, 0.500)
H (0.505, 0.703, 0.500)
Ge (0.139, 0.783, 0.000)
H (0.654, 0.197, 0.000)
Ge (0.783, 0.861, 0.000)
H (0.346, 0.803, 0.000)
H (0.803, 0.654, 0.000)
H (0.297, 0.505, 0.500)
Ge (0.397, 0.121, 0.500)
Ge (0.603, 0.879, 0.500)
H (0.197, 0.346, 0.000)
Ge (0.217, 0.139, 0.000)
Ge (0.121, 0.603, 0.500)



2.
Computed, not measured: Cd2AsW after structural relaxation at the PBE level of DFT.

E = -17.2 eV/cell
N(E_F) = 2.65 states/eV/cell
Crystal system = trigonal

Cell lengths 9.768, 9.768, 9.768 Å; angles 17.89, 17.89, 17.89 degrees
Positions (direct):
Cd (0.501, 0.501, 0.501)
As (0.750, 0.750, 0.750)
W (0.250, 0.250, 0.250)
Cd (0.999, 0.999, 0.999)